No. 1
Rb2GeH, relaxed, DFT GGA-PBE; electronic total energy = -8.2 eV per cell; symmetry = Fm-3m; DOS(E_F) = 0.119 states/eV per atom
1.0
0.000 4.195 4.195
4.195 0.000 4.195
4.195 4.195 0.000
Rb Ge H
2 1 1
Direct
0.250 0.250 0.250
0.750 0.750 0.750
0.000 0.000 0.000
0.500 0.500 0.500

---

No. 2
RbGe3H, relaxed, DFT GGA-PBE; E above lowest polymorph = 147.56 kJ per mole of atoms; symmetry = Pm-3m; DOS(E_F) = 1.121 states/eV per atom
1.0
6.022 0.000 0.000
0.000 6.022 0.000
0.000 0.000 6.022
Rb Ge H
1 3 1
Direct
0.000 0.000 0.000
0.000 0.000 0.500
0.000 0.500 0.000
0.500 0.000 0.000
0.500 0.500 0.500

---

No. 3
RbGeH6, relaxed, DFT GGA-PBE; electronic total energy = -24.5 eV per cell; symmetry = R-3m; DOS(E_F) = 0.137 states/eV per atom
1.0
2.923 1.688 3.841
-2.923 1.688 3.841
0.000 -3.376 3.841
Rb Ge H
1 1 6
Direct
0.000 0.000 0.000
0.500 0.500 0.500
0.078 0.510 0.510
0.490 0.490 0.922
0.490 0.922 0.490
0.510 0.078 0.510
0.510 0.510 0.078
0.922 0.490 0.490

---

No. 4
Rb3GeH, relaxed, DFT GGA-PBE; E above lowest polymorph = 6.23 kJ per mole of atoms; symmetry = Pm-3m; DOS(E_F) = 0.492 states/eV per atom
1.0
5.725 0.000 0.000
0.000 5.725 0.000
0.000 0.000 5.725
Rb Ge H
3 1 1
Direct
0.000 0.000 0.500
0.000 0.500 0.000
0.500 0.000 0.000
0.500 0.500 0.500
0.000 0.000 0.000

---

No. 5
RbGeHSe, relaxed, DFT GGA-PBE; E above lowest polymorph = 0.50 kJ per mole of atoms; symmetry = Pm
1.0
5.285 0.000 0.000
0.000 3.848 0.000
-0.313 0.000 5.561
Rb Ge H Se
1 1 1 1
Direct
0.000 0.000 0.000
0.502 0.000 0.480
0.482 0.000 0.772
0.827 0.500 0.493

---

No. 6
RbGeHSe, relaxed, DFT GGA-PBE; E above lowest polymorph = 38.34 kJ per mole of atoms; symmetry = Cm; DOS(E_F) = 0.475 states/eV per atom
1.0
5.619 -2.425 0.000
5.619 2.425 0.000
-0.088 0.000 3.795
Rb Ge H Se
1 1 1 1
Direct
0.000 0.000 0.000
0.303 0.303 0.522
0.646 0.646 0.814
0.700 0.700 0.454